Entry 1:
A plane-wave DFT calculation with GGA-PBE was carried out for a relaxed KF3 crystal.

```
KF3
1.0
3.959 0.000 0.000
0.000 3.959 0.000
0.000 0.000 17.208
K F
4 12
direct
0.000 0.000 0.000 K
0.000 0.500 0.250 K
0.500 0.000 0.750 K
0.500 0.500 0.500 K
0.000 0.000 0.500 F
0.000 0.500 0.750 F
0.092 0.250 0.625 F
0.250 0.592 0.875 F
0.250 0.908 0.375 F
0.408 0.250 0.125 F
0.500 0.000 0.250 F
0.500 0.500 0.000 F
0.592 0.750 0.125 F
0.750 0.092 0.375 F
0.750 0.408 0.875 F
0.908 0.750 0.625 F
```

## Properties
- Energy relative to the elements, uncorrected: -1.2543 eV per atom

***

Entry 2:
A plane-wave DFT calculation with GGA-PBE was carried out for a relaxed Mn2AsHRh crystal.

```
Mn2AsHRh
1.0
3.775 0.000 0.000
0.000 3.775 0.000
0.000 0.000 3.937
Mn As H Rh
2 1 1 1
direct
0.000 0.500 0.000 Mn
0.500 0.000 0.000 Mn
0.000 0.000 0.500 As
0.500 0.500 0.000 H
0.500 0.500 0.500 Rh
```

## Properties
- DFT total energy: -6.8167 eV per atom

***

Entry 3:
A plane-wave DFT calculation with GGA-PBE was carried out for a relaxed RbAlRu2 crystal.

```
RbAlRu2
1.0
4.830 0.000 0.000
0.000 4.830 0.000
0.000 0.000 17.852
Rb Al Ru
4 4 8
direct
0.000 0.000 0.000 Rb
0.000 0.500 0.250 Rb
0.500 0.000 0.750 Rb
0.500 0.500 0.500 Rb
0.000 0.000 0.500 Al
0.000 0.500 0.750 Al
0.500 0.000 0.250 Al
0.500 0.500 0.000 Al
0.012 0.750 0.625 Ru
0.250 0.012 0.375 Ru
0.250 0.488 0.875 Ru
0.488 0.750 0.125 Ru
0.512 0.250 0.125 Ru
0.750 0.512 0.875 Ru
0.750 0.988 0.375 Ru
0.988 0.250 0.625 Ru
```

## Properties
- E_form: 86.7 kJ per mole of atoms

***

Entry 4:
A plane-wave DFT calculation with GGA-PBE was carried out for a relaxed Sm5DyRu3 crystal.

```
Sm5DyRu3
1.0
6.229 -4.609 0.000
6.229 4.609 0.000
-3.849 0.000 9.307
Sm Dy Ru
10 2 6
direct
0.061 0.061 0.364 Sm
0.132 0.529 0.337 Sm
0.200 0.800 0.000 Sm
0.267 0.267 0.964 Sm
0.471 0.868 0.663 Sm
0.529 0.132 0.337 Sm
0.733 0.733 0.036 Sm
0.800 0.200 0.000 Sm
0.868 0.471 0.663 Sm
0.939 0.939 0.636 Sm
0.404 0.404 0.703 Dy
0.596 0.596 0.297 Dy
0.166 0.166 0.166 Ru
0.172 0.172 0.663 Ru
0.500 0.500 0.000 Ru
0.500 0.500 0.500 Ru
0.828 0.828 0.337 Ru
0.834 0.834 0.834 Ru
```

## Properties
- E_form: -16.4 kJ per mole of atoms

***

Entry 5:
A plane-wave DFT calculation with GGA-PBE was carried out for a relaxed Br3Cl crystal.

```
Br3Cl
1.0
15.288 0.000 0.000
-7.644 13.240 0.000
0.000 0.000 2.473
Br Cl
9 3
direct
0.000 0.500 0.000 Br
0.167 0.333 0.333 Br
0.167 0.833 0.333 Br
0.333 0.167 0.667 Br
0.500 0.000 0.000 Br
0.500 0.500 0.000 Br
0.667 0.833 0.333 Br
0.833 0.167 0.667 Br
0.833 0.667 0.667 Br
0.000 0.000 0.000 Cl
0.333 0.667 0.667 Cl
0.667 0.333 0.333 Cl
```

## Properties
- Energy relative to the elements, uncorrected: 0.2444 eV per atom

***

Entry 6:
A plane-wave DFT calculation with GGA-PBE was carried out for a relaxed Tb2Y7In2 crystal.

```
Tb2Y7In2
1.0
5.508 -5.597 0.000
5.508 5.597 0.000
-2.805 0.000 5.533
Tb Y In
2 7 2
direct
0.186 0.814 0.000 Tb
0.814 0.186 0.000 Tb
0.000 0.000 0.500 Y
0.083 0.576 0.314 Y
0.401 0.401 0.671 Y
0.424 0.917 0.686 Y
0.576 0.083 0.314 Y
0.599 0.599 0.329 Y
0.917 0.424 0.686 Y
0.252 0.252 0.040 In
0.748 0.748 0.960 In
```

## Properties
- E_form: -4.5 kJ per mole of atoms

***

Entry 7:
A plane-wave DFT calculation with GGA-PBE was carried out for a relaxed LiIrRu crystal.

```
LiIrRu
1.0
4.371 0.000 0.000
-2.185 3.785 0.000
0.000 0.000 2.592
Li Ir Ru
1 1 1
direct
0.000 0.000 0.000 Li
0.667 0.333 0.500 Ir
0.333 0.667 0.500 Ru
```

## Properties
- ΔE to the lowest computed polymorph: 0.203 eV/atom
- E_form: 17.9 kJ per mole of atoms

***

Entry 8:
A plane-wave DFT calculation with GGA-PBE was carried out for a relaxed ThSnHg2 crystal.

```
ThSnHg2
1.0
3.855 0.000 0.000
0.000 3.855 0.000
0.000 0.000 7.092
Th Sn Hg
1 1 2
direct
0.000 0.000 0.000 Th
0.000 0.000 0.500 Sn
0.500 0.500 0.265 Hg
0.500 0.500 0.735 Hg
```

## Properties
- E_form: -16.7 kJ per mole of atoms